{
  "formula": "Ga3Sb",
  "functional": "meta-GGA SCAN",
  "state": "PBEsol geometry",
  "cell": [[4.147, 0.000, 0.000], [0.000, 4.147, 0.000], [-2.073, -2.073, 4.781]],
  "species": ["Ga", "Sb", "Ga", "Ga"],
  "frac_coords": [[0.750, 0.250, 0.500], [0.000, 0.000, 0.000], [0.250, 0.750, 0.500], [0.500, 0.500, 0.000]],
  "raw_formation_energy_ev_per_atom": 0.195,
  "sg": "I4/mmm",
  "magmom_total_mub_per_cell": 0.000,
  "final_energy_ev_per_cell": -85.5
}


{
  "formula": "GaSb",
  "functional": "meta-GGA SCAN",
  "state": "PBEsol geometry",
  "cell": [[4.305, 0.000, 0.000], [-2.153, 3.728, 0.000], [0.000, 0.000, 7.098]],
  "species": ["Sb", "Ga", "Ga", "Sb"],
  "frac_coords": [[0.667, 0.333, 0.626], [0.667, 0.333, 0.000], [0.333, 0.667, 0.500], [0.333, 0.667, 0.126]],
  "raw_formation_energy_ev_per_atom": -0.154,
  "sg": "P6_3mc",
  "magmom_total_mub_per_cell": 0.000,
  "final_energy_ev_per_cell": -107.8
}


{
  "formula": "GaSb",
  "functional": "meta-GGA SCAN",
  "state": "PBEsol geometry",
  "cell": [[-1.745, -0.444, 3.927], [-0.297, -3.915, 1.802], [2.500, -1.021, 3.372]],
  "species": ["Ga", "Sb"],
  "frac_coords": [[0.000, 0.000, 0.000], [0.750, 0.750, 0.750]],
  "raw_formation_energy_ev_per_atom": -0.168,
  "sg": "F-43m",
  "magmom_total_mub_per_cell": 0.000,
  "final_energy_ev_per_cell": -53.9
}


{
  "formula": "ScGa3Sb",
  "functional": "meta-GGA SCAN",
  "state": "PBEsol geometry",
  "cell": [[5.111, 0.000, 0.000], [0.000, 5.111, 0.000], [0.000, 0.000, 5.111]],
  "species": ["Ga", "Ga", "Sb", "Ga", "Sc"],
  "frac_coords": [[0.000, 0.000, 0.500], [0.500, 0.000, 0.000], [0.500, 0.500, 0.500], [0.000, 0.500, 0.000], [0.000, 0.000, 0.000]],
  "raw_formation_energy_ev_per_atom": 0.623,
  "sg": "Pm-3m",
  "magmom_total_mub_per_cell": 0.844,
  "final_energy_ev_per_cell": -97.4
}


{
  "formula": "ScGa2TcSb",
  "functional": "meta-GGA SCAN",
  "state": "PBEsol geometry",
  "cell": [[4.659, 0.000, 0.000], [0.000, 4.659, 0.000], [0.000, 0.000, 5.176]],
  "species": ["Sc", "Ga", "Tc", "Sb", "Ga"],
  "frac_coords": [[0.500, 0.500, 0.500], [0.500, 0.000, 0.000], [0.000, 0.000, 0.000], [0.000, 0.000, 0.500], [0.000, 0.500, 0.000]],
  "raw_formation_energy_ev_per_atom": 0.120,
  "sg": "P4/mmm",
  "magmom_total_mub_per_cell": 0.001,
  "final_energy_ev_per_cell": -118.7
}


{
  "formula": "ScGaSb2Te",
  "functional": "meta-GGA SCAN",
  "state": "PBEsol geometry",
  "cell": [[5.165, 0.000, 0.000], [0.000, 5.165, 0.000], [0.000, 0.000, 5.292]],
  "species": ["Ga", "Sc", "Te", "Sb", "Sb"],
  "frac_coords": [[0.000, 0.000, 0.000], [0.500, 0.500, 0.500], [0.000, 0.000, 0.500], [0.500, 0.000, 0.000], [0.000, 0.500, 0.000]],
  "raw_formation_energy_ev_per_atom": 0.346,
  "sg": "P4/mmm",
  "magmom_total_mub_per_cell": 0.000,
  "final_energy_ev_per_cell": -140.6
}


{
  "formula": "GaSbTe2Se",
  "functional": "meta-GGA SCAN",
  "state": "PBEsol geometry",
  "cell": [[5.276, 0.000, 0.000], [0.000, 5.513, 0.000], [0.000, 0.000, 5.513]],
  "species": ["Se", "Ga", "Te", "Te", "Sb"],
  "frac_coords": [[0.000, 0.000, 0.000], [0.500, 0.500, 0.500], [0.000, 0.500, 0.000], [0.000, 0.000, 0.500], [0.500, 0.000, 0.000]],
  "raw_formation_energy_ev_per_atom": 0.574,
  "sg": "P4/mmm",
  "magmom_total_mub_per_cell": 0.599,
  "final_energy_ev_per_cell": -145.3
}


{
  "formula": "Ga2SiSb",
  "functional": "meta-GGA SCAN",
  "state": "PBEsol geometry",
  "cell": [[4.782, 0.000, 0.000], [2.391, 4.141, 0.000], [2.391, 1.380, 3.904]],
  "species": ["Ga", "Si", "Sb", "Ga"],
  "frac_coords": [[0.750, 0.750, 0.750], [0.000, 0.000, 0.000], [0.500, 0.500, 0.500], [0.250, 0.250, 0.250]],
  "raw_formation_energy_ev_per_atom": 0.455,
  "sg": "Fm-3m",
  "magmom_total_mub_per_cell": 0.000,
  "final_energy_ev_per_cell": -78.1
}